Here is crystalline Pr2Si2IF at its relaxed geometry from the Open Quantum Materials Database. Energies are from PBE-GGA.

The structure belongs to space group P3m1 (No. 156); the cell edges are 4.0825, 4.0825 and 9.9777 Å and the angles 90.00°, 90.00° and 120.00°. The inequivalent atoms are Pr at (0.0000, 0.0000, 0.0000), Pr at (0.0000, 0.0000, 0.4092), Si at (0.3333, 0.6667, 0.2171), Si at (0.6667, 0.3333, 0.1975), I at (0.6667, 0.3333, 0.6320) and F at (0.3333, 0.6667, 0.8989).

The total energy comes out at -32.82 eV for the cell shown.